Entry 1:
# Y2MgOs3, optimized geometry, DFT GGA-PBE
# Volume in Å³ per atom: 18.7
# Energy in eV per atom: -8.21
data_Y2MgOs3
_cell_length_a 5.3588
_cell_length_b 5.3588
_cell_length_c 9.0133
_cell_angle_alpha 90.00
_cell_angle_beta 90.00
_cell_angle_gamma 120.00
_symmetry_space_group_name_H-M 'P 63/m m c'
_symmetry_Int_Tables_number 194
_symmetry_space_group_name_Hall '-P 6c 2c'
loop_
_atom_site_label
_atom_site_type_symbol
_atom_site_fract_x
_atom_site_fract_y
_atom_site_fract_z
Y1 Y 0.3333 0.6667 0.0706
Mg1 Mg 0.0000 0.0000 0.0000
Os1 Os 0.1695 0.3390 0.7500


Entry 2:
# MgZnOs2, optimized geometry, DFT GGA-PBE
# Volume in Å³ per atom: 14.6
# Energy in eV per atom: -6.11
data_MgZnOs2
_cell_length_a 6.163
_cell_length_b 6.163
_cell_length_c 6.163
_cell_angle_alpha 90.00
_cell_angle_beta 90.00
_cell_angle_gamma 90.00
_symmetry_space_group_name_H-M 'F -4 3 m'
_symmetry_Int_Tables_number 216
_symmetry_space_group_name_Hall 'F -4 2 3'
loop_
_atom_site_label
_atom_site_type_symbol
_atom_site_fract_x
_atom_site_fract_y
_atom_site_fract_z
Mg1 Mg 0.000 0.000 0.000
Zn1 Zn 0.250 0.250 0.250
Os1 Os 0.000 0.000 0.500
Os2 Os 0.250 0.250 0.750


Entry 3:
# PrMgZnP2, optimized geometry, DFT GGA-PBE
# Volume in Å³ per atom: 20.8
# Energy in eV per atom: -4.50
data_PrMgZnP2
_cell_length_a 4.1410
_cell_length_b 4.1410
_cell_length_c 6.9933
_cell_angle_alpha 90.00
_cell_angle_beta 90.00
_cell_angle_gamma 120.00
_symmetry_space_group_name_H-M 'P 3 m 1'
_symmetry_Int_Tables_number 156
loop_
_symmetry_equiv_pos_as_xyz
'x,y,z'
'-y,x-y,z'
'-x+y,-x,z'
'-y,-x,z'
'-x+y,y,z'
'x,x-y,z'
loop_
_atom_site_label
_atom_site_type_symbol
_atom_site_fract_x
_atom_site_fract_y
_atom_site_fract_z
Pr1 Pr 0.0000 0.0000 0.0000
Mg1 Mg 0.3333 0.6667 0.3713
Zn1 Zn 0.6667 0.3333 0.6390
P1 P 0.3333 0.6667 0.7324
P2 P 0.6667 0.3333 0.2590


Entry 4:
# PuMg2SiP4, optimized geometry, DFT GGA-PBE
# Volume in Å³ per atom: 24.4
# Energy in eV per atom: -5.85
data_PuMg2SiP4
_cell_length_a 5.639
_cell_length_b 5.639
_cell_length_c 12.287
_cell_angle_alpha 90.00
_cell_angle_beta 90.00
_cell_angle_gamma 90.00
_symmetry_space_group_name_H-M 'I -4'
_symmetry_Int_Tables_number 82
loop_
_symmetry_equiv_pos_as_xyz
'x,y,z'
'y,-x,-z'
'-x,-y,z'
'-y,x,-z'
'x+1/2,y+1/2,z+1/2'
'y+1/2,-x+1/2,-z+1/2'
'-x+1/2,-y+1/2,z+1/2'
'-y+1/2,x+1/2,-z+1/2'
loop_
_atom_site_label
_atom_site_type_symbol
_atom_site_fract_x
_atom_site_fract_y
_atom_site_fract_z
Pu1 Pu 0.000 0.000 0.000
Mg1 Mg 0.000 0.000 0.500
Mg2 Mg 0.000 0.500 0.750
Si1 Si 0.000 0.500 0.250
P1 P 0.215 0.264 0.361


Entry 5:
# Mg2SiTcP4, optimized geometry, DFT GGA-PBE
# Volume in Å³ per atom: 21.7
# Energy in eV per atom: -5.30
data_Mg2SiTcP4
_cell_length_a 5.718
_cell_length_b 5.718
_cell_length_c 10.600
_cell_angle_alpha 90.00
_cell_angle_beta 90.00
_cell_angle_gamma 90.00
_symmetry_space_group_name_H-M 'I -4'
_symmetry_Int_Tables_number 82
loop_
_symmetry_equiv_pos_as_xyz
'x,y,z'
'y,-x,-z'
'-x,-y,z'
'-y,x,-z'
'x+1/2,y+1/2,z+1/2'
'y+1/2,-x+1/2,-z+1/2'
'-x+1/2,-y+1/2,z+1/2'
'-y+1/2,x+1/2,-z+1/2'
loop_
_atom_site_label
_atom_site_type_symbol
_atom_site_fract_x
_atom_site_fract_y
_atom_site_fract_z
Mg1 Mg 0.000 0.000 0.000
Mg2 Mg 0.000 0.500 0.250
Si1 Si 0.000 0.500 0.750
Tc1 Tc 0.000 0.000 0.500
P1 P 0.206 0.749 0.625


Entry 6:
# MgZnSn2P4, optimized geometry, DFT GGA-PBE
# Volume in Å³ per atom: 24.2
# Energy in eV per atom: -4.30
data_MgZnSn2P4
_cell_length_a 5.794
_cell_length_b 5.794
_cell_length_c 11.534
_cell_angle_alpha 90.00
_cell_angle_beta 90.00
_cell_angle_gamma 90.00
_symmetry_space_group_name_H-M 'I -4'
_symmetry_Int_Tables_number 82
loop_
_symmetry_equiv_pos_as_xyz
'x,y,z'
'y,-x,-z'
'-x,-y,z'
'-y,x,-z'
'x+1/2,y+1/2,z+1/2'
'y+1/2,-x+1/2,-z+1/2'
'-x+1/2,-y+1/2,z+1/2'
'-y+1/2,x+1/2,-z+1/2'
loop_
_atom_site_label
_atom_site_type_symbol
_atom_site_fract_x
_atom_site_fract_y
_atom_site_fract_z
Mg1 Mg 0.000 0.000 0.000
Zn1 Zn 0.000 0.500 0.750
Sn1 Sn 0.000 0.000 0.500
Sn2 Sn 0.000 0.500 0.250
P1 P 0.240 0.260 0.629


Entry 7:
# TbMg3P, optimized geometry, DFT GGA-PBE
# Volume in Å³ per atom: 25.1
# Energy in eV per atom: -2.92
data_TbMg3P
_cell_length_a 5.006
_cell_length_b 5.006
_cell_length_c 5.006
_cell_angle_alpha 90.00
_cell_angle_beta 90.00
_cell_angle_gamma 90.00
_symmetry_space_group_name_H-M 'P m -3 m'
_symmetry_Int_Tables_number 221
_symmetry_space_group_name_Hall '-P 4 2 3'
loop_
_atom_site_label
_atom_site_type_symbol
_atom_site_fract_x
_atom_site_fract_y
_atom_site_fract_z
Tb1 Tb 0.000 0.000 0.000
Mg1 Mg 0.000 0.500 0.500
P1 P 0.500 0.500 0.500


Entry 8:
# MgPW3, optimized geometry, DFT GGA-PBE
# Volume in Å³ per atom: 19.4
# Energy in eV per atom: -8.72
data_MgPW3
_cell_length_a 3.006
_cell_length_b 4.134
_cell_length_c 31.185
_cell_angle_alpha 90.00
_cell_angle_beta 90.00
_cell_angle_gamma 90.00
_symmetry_space_group_name_H-M 'A m m 2'
_symmetry_Int_Tables_number 38
loop_
_symmetry_equiv_pos_as_xyz
'x,y,z'
'-x,-y,z'
'-x,y,z'
'x,-y,z'
'x,y+1/2,z+1/2'
'-x,-y+1/2,z+1/2'
'-x,y+1/2,z+1/2'
'x,-y+1/2,z+1/2'
loop_
_atom_site_label
_atom_site_type_symbol
_atom_site_fract_x
_atom_site_fract_y
_atom_site_fract_z
Mg1 Mg 0.000 0.000 0.000
Mg2 Mg 0.000 0.000 0.254
P1 P 0.500 0.000 0.412
P2 P 0.500 0.000 0.842
W1 W 0.000 0.000 0.347
W2 W 0.000 0.000 0.566
W3 W 0.000 0.000 0.648
W4 W 0.000 0.000 0.908
W5 W 0.500 0.000 0.092
W6 W 0.500 0.000 0.174


Entry 9:
# MgPa, optimized geometry, DFT GGA-PBE
# Volume in Å³ per atom: 24.1
# Energy in eV per atom: -5.24
data_MgPa
_cell_length_a 5.262
_cell_length_b 9.879
_cell_length_c 5.554
_cell_angle_alpha 90.00
_cell_angle_beta 90.00
_cell_angle_gamma 90.00
_symmetry_space_group_name_H-M 'P m c 21'
_symmetry_Int_Tables_number 26
loop_
_symmetry_equiv_pos_as_xyz
'x,y,z'
'-x,-y,z+1/2'
'-x,y,z'
'x,-y,z+1/2'
loop_
_atom_site_label
_atom_site_type_symbol
_atom_site_fract_x
_atom_site_fract_y
_atom_site_fract_z
Mg1 Mg 0.000 0.093 0.000
Mg2 Mg 0.000 0.232 0.526
Mg3 Mg 0.500 0.251 0.827
Pa1 Pa 0.000 0.435 0.055
Pa2 Pa 0.500 0.069 0.316
Pa3 Pa 0.500 0.418 0.328


Entry 10:
# MgPa, optimized geometry, DFT GGA-PBE
# Volume in Å³ per atom: 24.4
# Energy in eV per atom: -5.21
data_MgPa
_cell_length_a 6.5922
_cell_length_b 6.5922
_cell_length_c 5.1890
_cell_angle_alpha 90.00
_cell_angle_beta 90.00
_cell_angle_gamma 120.00
_symmetry_space_group_name_H-M 'P -6 m 2'
_symmetry_Int_Tables_number 187
_symmetry_space_group_name_Hall 'P -6 2'
loop_
_atom_site_label
_atom_site_type_symbol
_atom_site_fract_x
_atom_site_fract_y
_atom_site_fract_z
Mg1 Mg 0.0000 0.0000 0.0000
Mg2 Mg 0.1653 0.3306 0.5000
Pa1 Pa 0.5077 0.0154 0.0000
Pa2 Pa 0.6667 0.3333 0.5000


Entry 11:
# Mg2Pa3, optimized geometry, DFT GGA-PBE
# Volume in Å³ per atom: 27.1
# Energy in eV per atom: -5.58
data_Mg2Pa3
_cell_length_a 7.7096
_cell_length_b 7.7096
_cell_length_c 15.8131
_cell_angle_alpha 90.00
_cell_angle_beta 90.00
_cell_angle_gamma 120.00
_symmetry_space_group_name_H-M 'R -3 c'
_symmetry_Int_Tables_number 167
_symmetry_space_group_name_Hall '-R 3 2"c'
loop_
_atom_site_label
_atom_site_type_symbol
_atom_site_fract_x
_atom_site_fract_y
_atom_site_fract_z
Mg1 Mg 0.0000 0.0000 0.0832
Pa1 Pa 0.0000 0.2096 0.2500


Entry 12:
# MgPa, optimized geometry, DFT GGA-PBE
# Volume in Å³ per atom: 42.6
# Energy in eV per atom: -3.18
data_MgPa
_cell_length_a 6.986
_cell_length_b 6.986
_cell_length_c 6.986
_cell_angle_alpha 90.00
_cell_angle_beta 90.00
_cell_angle_gamma 90.00
_symmetry_space_group_name_H-M 'F -4 3 m'
_symmetry_Int_Tables_number 216
_symmetry_space_group_name_Hall 'F -4 2 3'
loop_
_atom_site_label
_atom_site_type_symbol
_atom_site_fract_x
_atom_site_fract_y
_atom_site_fract_z
Mg1 Mg 0.000 0.000 0.000
Pa1 Pa 0.250 0.250 0.750